No. 1
! NaAc2N, optimized geometry, DFT PBE; values from VASP
! Total DFT energy (no corrections) ... -4.9320 eV/atom
! Space group ... Cm (8)
! Energy above the lowest structure with this stoichiometry ... 0 meV/atom
! N(E_F) ... 0.61 states/eV/atom
&SYSTEM
  ibrav = 0, nat = 4, ntyp = 3
/
ATOMIC_SPECIES
Na 22.99 Na.upf
Ac 227.00 Ac.upf
N 14.01 N.upf
ATOMIC_POSITIONS crystal
Na 0.500 0.500 0.499
Ac 0.048 0.048 0.854
Ac 0.285 0.285 0.147
N 0.667 0.667 0.000
CELL_PARAMETERS angstrom
3.842 -0.001 -0.003
1.920 3.328 -0.003
1.913 1.104 10.147


No. 2
! NaAc2N2, optimized geometry, DFT PBE; values from VASP
! Total DFT energy (no corrections) ... -6.0335 eV/atom
! Space group ... I4/mmm (139)
! N(E_F) ... 0.17 states/eV/atom
&SYSTEM
  ibrav = 0, nat = 5, ntyp = 3
/
ATOMIC_SPECIES
Na 22.99 Na.upf
Ac 227.00 Ac.upf
N 14.01 N.upf
ATOMIC_POSITIONS crystal
Na 0.000 0.000 0.000
Ac 0.671 0.671 0.341
Ac 0.329 0.329 0.659
N 0.814 0.814 0.627
N 0.186 0.186 0.373
CELL_PARAMETERS angstrom
-0.156 2.759 -2.632
-1.856 -2.356 -2.359
-6.474 2.456 5.724


No. 3
! NaAc2N, optimized geometry, DFT PBE; values from VASP
! Total DFT energy (no corrections) ... -4.4406 eV/atom
! Space group ... P4/mmm (123)
! Energy above the lowest structure with this stoichiometry ... 491 meV/atom
! N(E_F) ... 1.04 states/eV/atom
&SYSTEM
  ibrav = 0, nat = 4, ntyp = 3
/
ATOMIC_SPECIES
Na 22.99 Na.upf
Ac 227.00 Ac.upf
N 14.01 N.upf
ATOMIC_POSITIONS crystal
Na 0.500 0.500 0.250
Ac 0.000 0.000 0.909
Ac 0.000 0.000 0.591
N 0.500 0.500 0.750
CELL_PARAMETERS angstrom
-1.723 2.562 -1.491
-2.900 -1.102 1.459
1.781 5.814 7.929


No. 4
! NaAc3N, optimized geometry, DFT PBE; values from VASP
! Total DFT energy (no corrections) ... -4.6879 eV/atom
! Space group ... Pm-3m (221)
! Energy above the lowest structure with this stoichiometry ... 53 meV/atom
! N(E_F) ... 1.25 states/eV/atom
&SYSTEM
  ibrav = 0, nat = 5, ntyp = 3
/
ATOMIC_SPECIES
Na 22.99 Na.upf
Ac 227.00 Ac.upf
N 14.01 N.upf
ATOMIC_POSITIONS crystal
Na 0.500 0.500 0.500
Ac 0.000 0.500 0.000
Ac 0.000 0.000 0.500
Ac 0.500 0.000 0.000
N 0.000 0.000 0.000
CELL_PARAMETERS angstrom
5.472 0.000 0.000
0.000 5.472 0.000
0.000 0.000 5.472


No. 5
! NaAc2N, optimized geometry, DFT PBE; values from VASP
! Total DFT energy (no corrections) ... -4.9286 eV/atom
! Space group ... R-3m (166)
! Energy above the lowest structure with this stoichiometry ... 3 meV/atom
! N(E_F) ... 0.67 states/eV/atom
&SYSTEM
  ibrav = 0, nat = 4, ntyp = 3
/
ATOMIC_SPECIES
Na 22.99 Na.upf
Ac 227.00 Ac.upf
N 14.01 N.upf
ATOMIC_POSITIONS crystal
Na 0.500 0.500 0.500
Ac 0.715 0.715 0.854
Ac 0.285 0.285 0.146
N 0.000 0.000 0.000
CELL_PARAMETERS angstrom
3.843 0.000 0.000
1.922 3.328 0.000
1.922 1.109 10.163


No. 6
! NaAcNp4N8, optimized geometry, DFT PBE; values from VASP
! Total DFT energy (no corrections) ... -9.7628 eV/atom
! Space group ... R3m (160)
! N(E_F) ... 1.40 states/eV/atom
&SYSTEM
  ibrav = 0, nat = 14, ntyp = 4
/
ATOMIC_SPECIES
Na 22.99 Na.upf
Ac 227.00 Ac.upf
Np 237.00 Np.upf
N 14.01 N.upf
ATOMIC_POSITIONS crystal
Na 0.998 0.998 0.007
Ac 0.387 0.387 0.838
Np 0.618 0.618 0.146
Np 0.002 0.496 0.499
Np 0.496 0.002 0.499
Np 0.002 0.002 0.499
N 0.243 0.823 0.691
N 0.823 0.243 0.691
N 0.243 0.243 0.691
N 0.232 0.232 0.305
N 0.739 0.217 0.305
N 0.217 0.739 0.305
N 0.739 0.739 0.305
N 0.760 0.760 0.719
CELL_PARAMETERS angstrom
-2.358 -3.873 5.262
2.861 -6.192 1.309
3.767 -0.981 5.551


No. 7
! Na2Ac3NpN6, optimized geometry, DFT PBE; values from VASP
! Total DFT energy (no corrections) ... -7.2609 eV/atom
! Space group ... C2/m (12)
&SYSTEM
  ibrav = 0, nat = 12, ntyp = 4
/
ATOMIC_SPECIES
Na 22.99 Na.upf
Ac 227.00 Ac.upf
Np 237.00 Np.upf
N 14.01 N.upf
ATOMIC_POSITIONS crystal
Na 0.339 0.661 0.000
Na 0.661 0.339 0.000
Ac 0.165 0.835 0.500
Ac 0.835 0.165 0.500
Ac 0.500 0.500 0.500
Np 0.000 0.000 0.000
N 0.930 0.676 0.781
N 0.795 0.795 0.264
N 0.070 0.324 0.219
N 0.676 0.930 0.781
N 0.205 0.205 0.736
N 0.324 0.070 0.219
CELL_PARAMETERS angstrom
6.480 0.023 0.013
-3.219 5.624 0.013
-1.075 -1.861 5.911


No. 8
! Na2AcOsN4, optimized geometry, DFT PBE; values from VASP
! Total DFT energy (no corrections) ... -6.6973 eV/atom
! Space group ... I-42m (121)
! N(E_F) ... 0.28 states/eV/atom
&SYSTEM
  ibrav = 0, nat = 8, ntyp = 4
/
ATOMIC_SPECIES
Na 22.99 Na.upf
Ac 227.00 Ac.upf
Os 190.23 Os.upf
N 14.01 N.upf
ATOMIC_POSITIONS crystal
Na 0.500 0.750 0.250
Na 0.500 0.250 0.750
Ac 0.000 0.000 0.000
Os 0.000 0.500 0.500
N 0.660 0.509 0.830
N 0.340 0.170 0.491
N 0.000 0.491 0.170
N 0.000 0.830 0.509
CELL_PARAMETERS angstrom
6.157 0.000 0.000
3.078 4.541 -0.459
3.078 0.047 4.564


No. 9
! NaAc2Os2N6, optimized geometry, DFT PBE; values from VASP
! Total DFT energy (no corrections) ... -7.7299 eV/atom
! Space group ... R-3m (166)
! N(E_F) ... 0.56 states/eV/atom
&SYSTEM
  ibrav = 0, nat = 11, ntyp = 4
/
ATOMIC_SPECIES
Na 22.99 Na.upf
Ac 227.00 Ac.upf
Os 190.23 Os.upf
N 14.01 N.upf
ATOMIC_POSITIONS crystal
Na 0.000 0.000 0.000
Ac 0.787 0.787 0.639
Ac 0.213 0.213 0.361
Os 0.405 0.405 0.785
Os 0.595 0.595 0.215
N 0.737 0.737 0.293
N 0.233 0.737 0.293
N 0.737 0.233 0.293
N 0.263 0.767 0.707
N 0.767 0.263 0.707
N 0.263 0.263 0.707
CELL_PARAMETERS angstrom
5.896 0.000 0.000
2.948 5.106 0.000
2.948 1.702 6.231


No. 10
! NaAc3Pa2N6, optimized geometry, DFT PBE; values from VASP
! Total DFT energy (no corrections) ... -8.0532 eV/atom
! Space group ... C2/m (12)
! N(E_F) ... 0.37 states/eV/atom
&SYSTEM
  ibrav = 0, nat = 12, ntyp = 4
/
ATOMIC_SPECIES
Na 22.99 Na.upf
Ac 227.00 Ac.upf
Pa 231.04 Pa.upf
N 14.01 N.upf
ATOMIC_POSITIONS crystal
Na 0.500 0.000 0.000
Ac 0.500 0.500 0.000
Ac 0.839 0.159 0.679
Ac 0.161 0.841 0.321
Pa 0.833 0.673 0.665
Pa 0.167 0.327 0.335
N 0.326 0.876 0.651
N 0.681 0.555 0.361
N 0.674 0.124 0.349
N 0.029 0.282 0.057
N 0.971 0.718 0.943
N 0.319 0.445 0.639
CELL_PARAMETERS angstrom
-0.615 3.659 0.397
-0.288 -0.856 7.452
7.984 -0.367 -1.786


No. 11
! Na4AcPa3N8, optimized geometry, DFT PBE; values from VASP
! Total DFT energy (no corrections) ... -7.4572 eV/atom
! Space group ... C2/m (12)
! N(E_F) ... 0.66 states/eV/atom
&SYSTEM
  ibrav = 0, nat = 16, ntyp = 4
/
ATOMIC_SPECIES
Na 22.99 Na.upf
Ac 227.00 Ac.upf
Pa 231.04 Pa.upf
N 14.01 N.upf
ATOMIC_POSITIONS crystal
Na 0.500 0.000 0.000
Na 0.500 0.000 0.500
Na 0.000 0.000 0.000
Na 0.000 0.000 0.500
Ac 0.000 0.500 0.000
Pa 0.500 0.500 0.000
Pa 0.500 0.500 0.500
Pa 0.000 0.500 0.500
N 0.249 0.690 0.949
N 0.246 0.689 0.491
N 0.267 0.307 0.534
N 0.700 0.690 0.949
N 0.300 0.310 0.051
N 0.733 0.693 0.466
N 0.754 0.311 0.509
N 0.751 0.310 0.051
CELL_PARAMETERS angstrom
7.197 0.000 0.000
0.000 7.092 -0.113
-3.598 -3.630 5.202


No. 12
! NaAc4Pa3N8, optimized geometry, DFT PBE; values from VASP
! Total DFT energy (no corrections) ... -8.2839 eV/atom
! Space group ... R-3m (166)
! N(E_F) ... 0.26 states/eV/atom
&SYSTEM
  ibrav = 0, nat = 16, ntyp = 4
/
ATOMIC_SPECIES
Na 22.99 Na.upf
Ac 227.00 Ac.upf
Pa 231.04 Pa.upf
N 14.01 N.upf
ATOMIC_POSITIONS crystal
Na 0.000 0.500 0.000
Ac 0.500 0.000 0.000
Ac 0.500 0.000 0.500
Ac 0.000 0.000 0.000
Ac 0.000 0.000 0.500
Pa 0.500 0.500 0.000
Pa 0.500 0.500 0.500
Pa 0.000 0.500 0.500
N 0.252 0.702 0.951
N 0.252 0.702 0.503
N 0.269 0.307 0.538
N 0.699 0.702 0.951
N 0.301 0.298 0.049
N 0.731 0.693 0.462
N 0.748 0.298 0.497
N 0.748 0.298 0.049
CELL_PARAMETERS angstrom
-3.185 -5.068 4.153
-3.947 -2.339 -5.881
7.265 0.282 -0.475